{
  "formula": "U2Si6Pd21",
  "functional": "PBE",
  "state": "relaxed",
  "sg": "Fm-3m (225)",
  "dft_energy_ev_per_atom": -6.265,
  "dos_at_fermi_per_ev_cell": 21.7,
  "raw_formation_energy_mev_per_atom": -604,
  "lattice_angstrom": [[-6.111, -4.075, -4.590], [-7.570, -2.015, 3.695], [-7.207, 4.210, -2.316]],
  "species": ["U", "U", "Si", "Si", "Si", "Si", "Si", "Si", "Pd", "Pd", "Pd", "Pd", "Pd", "Pd", "Pd", "Pd", "Pd", "Pd", "Pd", "Pd", "Pd", "Pd", "Pd", "Pd", "Pd", "Pd", "Pd", "Pd", "Pd"],
  "fractional_positions": [[0.750, 0.750, 0.750], [0.250, 0.250, 0.250], [0.263, 0.737, 0.263], [0.737, 0.263, 0.263], [0.737, 0.737, 0.263], [0.737, 0.263, 0.737], [0.263, 0.737, 0.737], [0.263, 0.263, 0.737], [0.000, 0.000, 0.000], [0.617, 0.617, 0.150], [0.617, 0.617, 0.617], [0.617, 0.150, 0.617], [0.150, 0.617, 0.617], [0.383, 0.383, 0.850], [0.383, 0.383, 0.383], [0.383, 0.850, 0.383], [0.850, 0.383, 0.383], [0.654, 0.000, 0.346], [0.000, 0.654, 0.346], [0.000, 0.000, 0.346], [0.000, 0.654, 0.000], [0.654, 0.000, 0.000], [0.000, 0.000, 0.654], [0.000, 0.346, 0.000], [0.000, 0.346, 0.654], [0.654, 0.346, 0.000], [0.346, 0.000, 0.654], [0.346, 0.000, 0.000], [0.346, 0.654, 0.000]]
}